# 1
The following is a DFT calculation (GGA-PBEsol) of a geometry-optimized LiLa2Ni2 structure.

formation enthalpy at 0 K = -0.98 eV/f.u.
theoretical density = 6.3 g/cm3
uncorrected energy = -5.190 eV per atom
total magnetization = 0.00 μB per formula unit

a = 7.471 Å, b = 7.471 Å, c = 3.781 Å
α = 90.00°, β = 90.00°, γ = 90.00°
Atoms (fractional coordinates):
Li: 0.000 0.000 0.000
Li: 0.500 0.500 0.000
La: 0.173 0.327 0.500
La: 0.327 0.827 0.500
La: 0.673 0.173 0.500
La: 0.827 0.673 0.500
Ni: 0.120 0.620 0.000
Ni: 0.380 0.120 0.000
Ni: 0.620 0.880 0.000
Ni: 0.880 0.380 0.000


# 2
The following is a DFT calculation (GGA-PBEsol) of a geometry-optimized LaYAs2 structure.

formation enthalpy at 0 K = -5.69 eV/f.u.
theoretical density = 5.9 g/cm3
uncorrected energy = -7.017 eV per atom
total magnetization = 0.00 μB per formula unit

a = 7.553 Å, b = 7.553 Å, c = 7.553 Å
α = 31.68°, β = 31.68°, γ = 31.68°
Atoms (fractional coordinates):
La: 0.000 0.000 0.000
Y: 0.829 0.829 0.829
As: 0.242 0.242 0.242
As: 0.419 0.419 0.419


# 3
The following is a DFT calculation (GGA-PBEsol) of a geometry-optimized CoHAuO2 structure.

theoretical density = 10.2 g/cm3
uncorrected energy = -4.998 eV per atom
total magnetization = 2.21 μB per formula unit

a = 3.744 Å, b = 3.744 Å, c = 3.339 Å
α = 90.00°, β = 90.00°, γ = 90.00°
Atoms (fractional coordinates):
Co: 0.000 0.000 0.000
H: 0.000 0.000 0.500
Au: 0.500 0.500 0.500
O: 0.000 0.500 0.000
O: 0.500 0.000 0.000


# 4
The following is a DFT calculation (GGA-PBEsol) of a geometry-optimized RuRh2Au structure.

formation enthalpy at 0 K = 0.68 eV/f.u.
theoretical density = 14.7 g/cm3
uncorrected energy = -7.422 eV per atom
total magnetization = 0.00 μB per formula unit

a = 2.708 Å, b = 2.708 Å, c = 7.761 Å
α = 90.00°, β = 90.00°, γ = 90.00°
Atoms (fractional coordinates):
Ru: 0.000 0.000 0.000
Rh: 0.000 0.000 0.530
Rh: 0.500 0.500 0.771
Au: 0.500 0.500 0.265